DFT (PBE) results for TcBS2Cl after structural relaxation.

Distance to the lowest polymorph of the same formula: 0.0 meV/atom
Total magnetic moment: 0.00 μB per formula unit

a = 4.558 Å, b = 4.558 Å, c = 4.349 Å
α = 90.00°, β = 90.00°, γ = 90.00°
Space group P4/mmm (No. 123)
Unique sites:
Tc1 0.000 0.000 0.000 [1 per cell]
B1 0.000 0.000 0.500 [1 per cell]
S1 0.000 0.500 0.000 [2 per cell]
Cl1 0.500 0.500 0.500 [1 per cell]